{"formula": "Pr3Pt", "functional": "GGA-PBE", "state": "relaxed", "formation_energy_ev_per_atom": -0.336, "lattice": [[3.7769, 0.0000, 0.0000], [0.0000, 3.7933, 0.0000], [0.0000, 0.0000, 9.4332]], "species": ["Pr", "Pr", "Pr", "Pt"], "fractional_positions": [[0.0000, 0.0000, 0.0000], [0.0000, 0.5000, 0.3433], [0.5000, 0.5000, 0.7186], [0.5000, 0.0000, 0.4775]]}

***

{"formula": "Fe3OsPt", "functional": "GGA-PBE", "state": "relaxed", "de_polymorph_mev_per_atom": 0, "formation_energy_ev_per_atom": 1.483, "lattice": [[4.4282, 0.0000, 0.0000], [0.0000, 4.4282, 0.0000], [0.0000, 0.0000, 4.4282]], "species": ["Fe", "Fe", "Fe", "Os", "Pt"], "fractional_positions": [[0.0000, 0.0000, 0.5000], [0.0000, 0.5000, 0.0000], [0.5000, 0.0000, 0.0000], [0.0000, 0.0000, 0.0000], [0.5000, 0.5000, 0.5000]]}

***

{"formula": "LiAcYS3", "functional": "GGA-PBE", "state": "relaxed", "formation_energy_uncorrected_ev_per_atom": -1.87, "lattice": [[8.3177, 0.0000, 0.0000], [0.0000, 3.9837, 0.0000], [-2.1124, 0.0000, 8.4284]], "species": ["Li", "Li", "Ac", "Ac", "Y", "Y", "S", "S", "S", "S", "S", "S"], "fractional_positions": [[0.0891, 0.2500, 0.0886], [0.9109, 0.7500, 0.9114], [0.1906, 0.2500, 0.7273], [0.8094, 0.7500, 0.2727], [0.3360, 0.7500, 0.3413], [0.6640, 0.2500, 0.6587], [0.1041, 0.2500, 0.3652], [0.2090, 0.7500, 0.0096], [0.4395, 0.7500, 0.6717], [0.5605, 0.2500, 0.3283], [0.7910, 0.2500, 0.9904], [0.8959, 0.7500, 0.6348]]}

***

{"formula": "Tb3PrHoTh", "functional": "GGA-PBE", "state": "relaxed", "formation_energy_ev_per_atom": 0.028, "lattice": [[8.0120, 0.0000, 0.0000], [0.0000, 5.0803, 0.0000], [-3.2730, 0.0000, 9.6179]], "species": ["Tb", "Tb", "Tb", "Tb", "Tb", "Tb", "Pr", "Pr", "Ho", "Ho", "Th", "Th"], "fractional_positions": [[0.1704, 0.2500, 0.0442], [0.1761, 0.2500, 0.5429], [0.1773, 0.7500, 0.2938], [0.8227, 0.2500, 0.7062], [0.8239, 0.7500, 0.4571], [0.8296, 0.7500, 0.9558], [0.1685, 0.7500, 0.7922], [0.8315, 0.2500, 0.2078], [0.4990, 0.7500, 0.1282], [0.5010, 0.2500, 0.8718], [0.4982, 0.2500, 0.3786], [0.5018, 0.7500, 0.6214]]}

***

{"formula": "Co2TcPb", "functional": "GGA-PBE", "state": "relaxed", "formation_energy_ev_per_atom": 0.658, "lattice": [[2.9708, 0.0000, 0.0000], [-1.4854, 2.5728, 0.0000], [0.0000, 0.0000, 25.5039]], "species": ["Co", "Co", "Co", "Co", "Co", "Co", "Tc", "Tc", "Tc", "Pb", "Pb", "Pb"], "fractional_positions": [[0.0000, 0.0000, 0.2389], [0.0000, 0.0000, 0.7611], [0.3333, 0.6667, 0.4278], [0.3333, 0.6667, 0.9055], [0.6667, 0.3333, 0.0945], [0.6667, 0.3333, 0.5722], [0.0000, 0.0000, 0.5000], [0.3333, 0.6667, 0.1667], [0.6667, 0.3333, 0.8333], [0.0000, 0.0000, 0.0000], [0.3333, 0.6667, 0.6667], [0.6667, 0.3333, 0.3333]]}

***

{"formula": "Ce2Zn2Ge4Ir", "functional": "GGA-PBE", "state": "relaxed", "formation_energy_ev_per_atom": -0.522, "lattice": [[-3.1523, 3.1523, 4.3675], [3.1523, -3.1523, 4.3675], [3.1523, 3.1523, -4.3675]], "species": ["Ce", "Ce", "Zn", "Zn", "Ge", "Ge", "Ge", "Ge", "Ir"], "fractional_positions": [[0.2500, 0.7500, 0.5000], [0.7500, 0.2500, 0.5000], [0.2096, 0.2096, 0.0000], [0.7904, 0.7904, 0.0000], [0.2205, 0.2205, 0.4409], [0.2205, 0.7795, 0.0000], [0.7795, 0.2205, 0.0000], [0.7795, 0.7795, 0.5591], [0.5000, 0.5000, 0.0000]]}

***

{"formula": "CaCr3Pt", "functional": "GGA-PBE", "state": "relaxed", "de_polymorph_mev_per_atom": 0, "formation_energy_ev_per_atom": 0.795, "lattice": [[4.9692, 0.0000, 0.0000], [0.0000, 4.9692, 0.0000], [0.0000, 0.0000, 4.9692]], "species": ["Ca", "Cr", "Cr", "Cr", "Pt"], "fractional_positions": [[0.0000, 0.0000, 0.0000], [0.0000, 0.5000, 0.5000], [0.5000, 0.0000, 0.5000], [0.5000, 0.5000, 0.0000], [0.5000, 0.5000, 0.5000]]}

***

{"formula": "BaSrS", "functional": "GGA-PBE", "state": "relaxed", "formation_energy_uncorrected_ev_per_atom": -1.03, "de_polymorph_mev_per_atom": 260, "lattice": [[2.6140, 1.5092, 8.6531], [-2.6140, 1.5092, 8.6531], [0.0000, -3.0184, 8.6531]], "species": ["Ba", "Ba", "Sr", "Sr", "S", "S"], "fractional_positions": [[0.1270, 0.1270, 0.1270], [0.8730, 0.8730, 0.8730], [0.3750, 0.3750, 0.3750], [0.6250, 0.6250, 0.6250], [0.2581, 0.2581, 0.2581], [0.7419, 0.7419, 0.7419]]}

***

{"formula": "LaMgPb", "functional": "GGA-PBE", "state": "relaxed", "formation_energy_ev_per_atom": -0.107, "lattice": [[3.4871, 0.0000, 0.0000], [-1.7436, 3.0200, 0.0000], [0.0000, 0.0000, 8.4948]], "species": ["La", "Mg", "Pb"], "fractional_positions": [[0.0000, 0.0000, 0.0000], [0.6667, 0.3333, 0.3507], [0.3333, 0.6667, 0.6540]]}

***

{"formula": "BaSi2N2O2", "functional": "GGA-PBE", "state": "relaxed", "formation_energy_uncorrected_ev_per_atom": -2.04, "lattice": [[7.2830, -2.6999, 0.0000], [7.2830, 2.6999, 0.0000], [0.0000, 0.0000, 4.8783]], "species": ["Ba", "Ba", "Si", "Si", "Si", "Si", "N", "N", "N", "N", "O", "O", "O", "O"], "fractional_positions": [[0.2461, 0.7539, 0.5000], [0.7539, 0.2461, 0.0000], [0.1393, 0.4602, 0.0503], [0.4602, 0.1393, 0.5503], [0.5398, 0.8607, 0.0503], [0.8607, 0.5398, 0.5503], [0.1470, 0.4089, 0.4034], [0.4089, 0.1470, 0.9034], [0.5911, 0.8530, 0.4034], [0.8530, 0.5911, 0.9034], [0.1730, 0.6408, 0.9983], [0.3592, 0.8270, 0.9983], [0.6408, 0.1730, 0.4983], [0.8270, 0.3592, 0.4983]]}

***

{"formula": "LiGaNi3", "functional": "GGA-PBE", "state": "relaxed", "de_polymorph_mev_per_atom": 0, "formation_energy_ev_per_atom": -0.232, "lattice": [[5.0047, 0.0000, 0.0000], [0.0000, 3.6976, 0.0000], [0.0000, 0.0000, 12.4728]], "species": ["Li", "Li", "Li", "Li", "Ga", "Ga", "Ga", "Ga", "Ni", "Ni", "Ni", "Ni", "Ni", "Ni", "Ni", "Ni", "Ni", "Ni", "Ni", "Ni"], "fractional_positions": [[0.1253, 0.2500, 0.0461], [0.3747, 0.7500, 0.5461], [0.6253, 0.2500, 0.4539], [0.8747, 0.7500, 0.9539], [0.1133, 0.2500, 0.6476], [0.3867, 0.7500, 0.1476], [0.6133, 0.2500, 0.8524], [0.8867, 0.7500, 0.3524], [0.1157, 0.2500, 0.8458], [0.1282, 0.2500, 0.4472], [0.1387, 0.2500, 0.2499], [0.3613, 0.7500, 0.7499], [0.3718, 0.7500, 0.9472], [0.3843, 0.7500, 0.3458], [0.6157, 0.2500, 0.6542], [0.6282, 0.2500, 0.0528], [0.6387, 0.2500, 0.2501], [0.8613, 0.7500, 0.7501], [0.8718, 0.7500, 0.5528], [0.8843, 0.7500, 0.1542]]}

***

{"formula": "CoReAsRu2", "functional": "GGA-PBE", "state": "relaxed", "formation_energy_ev_per_atom": 1.711, "lattice": [[4.7038, 0.0000, 0.0000], [0.0000, 4.7038, 0.0000], [0.0000, 0.0000, 4.6673]], "species": ["Co", "Re", "As", "Ru", "Ru"], "fractional_positions": [[0.0000, 0.0000, 0.0000], [0.5000, 0.5000, 0.5000], [0.5000, 0.5000, 0.0000], [0.0000, 0.5000, 0.5000], [0.5000, 0.0000, 0.5000]]}

***

Number 1: final energy -5.43 eV per atom. Number 2: final energy -7.05 eV per atom. Number 3: final energy -6.02 eV per atom. Number 4: final energy -5.08 eV per atom. Number 5: final energy -6.41 eV per atom. Number 6: final energy -5.16 eV per atom. Number 7: final energy -6.59 eV per atom. Number 8: final energy -3.61 eV per atom. Number 9: final energy -3.52 eV per atom. Number 10: final energy -7.66 eV per atom. Number 11: final energy -4.69 eV per atom. Number 12: final energy -6.84 eV per atom.